No. 1
## TlCu3Br4 (PBE)

Data for an optimized crystal structure of TlCu3Br4.

Cell lengths 8.5565, 7.2340, 7.1883 Å; angles 90.00, 90.00, 90.00 degrees
Last column: nearest neighbours and their distance in Å.
Space group Pmn2_1 (No. 31)
One atom of each set of equivalent atoms:
Tl1 0.0000 0.1699 0.0000 [2 per cell]  4 Br 3.18-3.24
Cu1 0.0000 0.8102 0.5394 [2 per cell]  4 Br 2.47-2.52
Cu2 0.2487 0.6657 0.0428 [4 per cell]  4 Br 2.49-2.52
Br1 0.0000 0.1519 0.5499 [2 per cell]  3 Cu 2.47-2.52
Br2 0.0000 0.7667 0.1916 [2 per cell]  3 Cu 2.49-2.52
Br3 0.2111 0.6372 0.6989 [4 per cell]  3 Cu 2.48-2.50

## Properties
Formation energy (no corrections) ... -0.361 eV per atom

***

No. 2
## TlCu2Br4 (PBE)

Data for an optimized crystal structure of TlCu2Br4.

Cell lengths 5.6357, 5.6357, 7.7097 Å; angles 90.00, 90.00, 90.00 degrees
Last column: nearest neighbours and their distance in Å.
Space group P-42m (No. 111)
One atom of each set of equivalent atoms:
Tl1 0.0000 0.0000 0.0000 [1 per cell]  4 Br 3.20
Cu1 0.0000 0.5000 0.5000 [2 per cell]  4 Br 2.44
Br1 0.2593 0.2593 0.3170 [4 per cell]  2 Cu 2.44

## Properties
Formation energy (no corrections) ... -0.438 eV per atom

***

No. 3
## Tl2CuBr (PBE)

Data for an optimized crystal structure of Tl2CuBr.

Cell lengths 3.9598, 3.9598, 7.6774 Å; angles 90.00, 90.00, 90.00 degrees
Last column: nearest neighbours and their distance in Å.
Space group P4mm (No. 99)
One atom of each set of equivalent atoms:
Tl1 0.0000 0.0000 0.0000 [1 per cell]  4 Cu 2.80
Tl2 0.5000 0.5000 0.3866 [1 per cell]  1 Cu 2.81
Cu1 0.5000 0.5000 0.0201 [1 per cell]  5 Tl 2.80-2.81
Br1 0.0000 0.0000 0.5899 [1 per cell]  5 Tl 3.15-3.21

## Properties
Formation energy (no corrections) ... -0.096 eV per atom
Polymorph energy (0 for the lowest one) ... 0.00 eV/f.u.